Below is RbGdCdTe3 after structural relaxation, with properties calculated at the PBE-GGA level.

Results
Polymorph energy (0 for the lowest one) in eV per atom: 0.000

Cell lengths 8.550, 8.550, 11.873 Å; angles 90.00, 90.00, 30.65 degrees
Element x y z (fractional)
Rb (0.753, 0.753, 0.250)
Rb (0.247, 0.247, 0.750)
Te (0.629, 0.629, 0.951)
Te (0.371, 0.371, 0.451)
Te (0.629, 0.629, 0.549)
Te (0.071, 0.071, 0.250)
Te (0.929, 0.929, 0.750)
Te (0.371, 0.371, 0.049)
Cd (0.462, 0.462, 0.250)
Cd (0.538, 0.538, 0.750)
Gd (0.000, 0.000, 0.500)
Gd (0.000, 0.000, 0.000)

Below is RbGdCdTe3 after structural relaxation, with properties calculated at the PBE-GGA level.

Results
Polymorph energy (0 for the lowest one) in eV per atom: 0.125

Cell lengths 8.858, 4.896, 18.587 Å; angles 90.00, 90.00, 90.00 degrees
Element x y z (fractional)
Te (0.732, 0.750, 0.293)
Te (0.499, 0.750, 0.923)
Te (0.268, 0.250, 0.707)
Te (0.631, 0.250, 0.550)
Te (0.131, 0.250, 0.950)
Te (0.869, 0.750, 0.050)
Te (0.232, 0.750, 0.207)
Te (0.999, 0.750, 0.577)
Te (0.369, 0.750, 0.450)
Te (0.501, 0.250, 0.077)
Te (0.768, 0.250, 0.793)
Te (0.001, 0.250, 0.423)
Rb (0.932, 0.250, 0.190)
Rb (0.068, 0.750, 0.810)
Rb (0.432, 0.250, 0.310)
Rb (0.568, 0.750, 0.690)
Cd (0.072, 0.750, 0.342)
Cd (0.928, 0.250, 0.658)
Cd (0.428, 0.250, 0.842)
Cd (0.572, 0.750, 0.158)
Gd (0.767, 0.250, 0.959)
Gd (0.233, 0.750, 0.041)
Gd (0.267, 0.250, 0.541)
Gd (0.733, 0.750, 0.459)

Below is GdCdS after structural relaxation, with properties calculated at the PBE-GGA level.

Cell lengths 3.564, 8.564, 8.564 Å; angles 120.70, 90.00, 90.00 degrees
Element x y z (fractional)
S (0.500, 0.680, 0.011)
S (0.500, 0.011, 0.680)
S (0.500, 0.131, 0.131)
Gd (0.000, 0.807, 0.385)
Gd (0.000, 0.385, 0.807)
Gd (0.000, 0.898, 0.898)
Cd (0.000, 0.161, 0.387)
Cd (0.000, 0.541, 0.541)
Cd (0.000, 0.387, 0.161)

Below is GdTlCdS3 after structural relaxation, with properties calculated at the PBE-GGA level.

Results
Polymorph energy (0 for the lowest one) in eV per atom: 0.019

Cell lengths 12.034, 4.148, 12.284 Å; angles 90.00, 90.00, 90.00 degrees
Element x y z (fractional)
Gd (0.032, 0.000, 0.661)
Gd (0.968, 0.500, 0.339)
Gd (0.532, 0.000, 0.839)
Gd (0.468, 0.500, 0.161)
S (0.463, 0.000, 0.317)
S (0.907, 0.500, 0.564)
S (0.537, 0.500, 0.683)
S (0.037, 0.500, 0.817)
S (0.238, 0.500, 0.177)
S (0.593, 0.000, 0.064)
S (0.262, 0.000, 0.677)
S (0.738, 0.500, 0.323)
S (0.963, 0.000, 0.183)
S (0.407, 0.500, 0.936)
S (0.093, 0.000, 0.436)
S (0.762, 0.000, 0.823)
Cd (0.251, 0.000, 0.302)
Cd (0.749, 0.500, 0.698)
Cd (0.249, 0.500, 0.802)
Cd (0.751, 0.000, 0.198)
Tl (0.853, 0.500, 0.985)
Tl (0.147, 0.000, 0.015)
Tl (0.647, 0.000, 0.485)
Tl (0.353, 0.500, 0.515)

Below is GdTlCdS3 after structural relaxation, with properties calculated at the PBE-GGA level.

Results
Polymorph energy (0 for the lowest one) in eV per atom: 0.005

Cell lengths 10.818, 7.409, 7.409 Å; angles 32.29, 90.00, 90.00 degrees
Element x y z (fractional)
S (0.797, 0.372, 0.372)
S (0.500, 0.936, 0.936)
S (0.297, 0.628, 0.628)
S (0.203, 0.372, 0.372)
S (0.703, 0.628, 0.628)
S (0.000, 0.064, 0.064)
Tl (0.500, 0.261, 0.261)
Tl (0.000, 0.739, 0.739)
Cd (0.000, 0.453, 0.453)
Cd (0.500, 0.547, 0.547)
Gd (0.250, 0.000, 0.000)
Gd (0.750, 0.000, 0.000)

Below is GdTlCdS3 after structural relaxation, with properties calculated at the PBE-GGA level.

Results
Polymorph energy (0 for the lowest one) in eV per atom: 0.000

Cell lengths 8.563, 4.159, 10.022 Å; angles 90.00, 106.24, 90.00 degrees
Element x y z (fractional)
S (0.779, 0.250, 0.442)
S (0.221, 0.750, 0.558)
S (0.114, 0.250, 0.877)
S (0.457, 0.750, 0.144)
S (0.886, 0.750, 0.123)
S (0.543, 0.250, 0.856)
Cd (0.925, 0.750, 0.383)
Cd (0.075, 0.250, 0.617)
Tl (0.208, 0.250, 0.204)
Tl (0.792, 0.750, 0.796)
Gd (0.671, 0.250, 0.138)
Gd (0.329, 0.750, 0.862)

Below is GdScCd after structural relaxation, with properties calculated at the PBE-GGA level.

Results
ΔE_f in eV per atom: 0.44

Cell lengths 4.931, 4.931, 4.931 Å; angles 60.00, 60.00, 60.00 degrees
Element x y z (fractional)
Sc (0.000, 0.000, 0.000)
Gd (0.750, 0.750, 0.750)
Cd (0.250, 0.250, 0.250)

Below is GdTlCdSe3 after structural relaxation, with properties calculated at the PBE-GGA level.

Results
Polymorph energy (0 for the lowest one) in eV per atom: 0.000

Cell lengths 8.717, 4.296, 10.135 Å; angles 90.00, 105.78, 90.00 degrees
Element x y z (fractional)
Gd (0.826, 0.750, 0.863)
Gd (0.174, 0.250, 0.137)
Se (0.733, 0.750, 0.547)
Se (0.398, 0.750, 0.123)
Se (0.602, 0.250, 0.877)
Se (0.956, 0.750, 0.153)
Se (0.267, 0.250, 0.453)
Se (0.044, 0.250, 0.847)
Tl (0.289, 0.750, 0.777)
Tl (0.711, 0.250, 0.223)
Cd (0.418, 0.750, 0.388)
Cd (0.582, 0.250, 0.612)

Below is GdTlCdSe3 after structural relaxation, with properties calculated at the PBE-GGA level.

Results
Polymorph energy (0 for the lowest one) in eV per atom: 0.000

Cell lengths 7.655, 7.655, 11.173 Å; angles 90.00, 90.00, 32.27 degrees
Element x y z (fractional)
Se (0.367, 0.367, 0.452)
Se (0.072, 0.072, 0.250)
Se (0.367, 0.367, 0.048)
Se (0.633, 0.633, 0.548)
Se (0.928, 0.928, 0.750)
Se (0.633, 0.633, 0.952)
Cd (0.458, 0.458, 0.250)
Cd (0.542, 0.542, 0.750)
Gd (0.000, 0.000, 0.000)
Gd (0.000, 0.000, 0.500)
Tl (0.749, 0.749, 0.250)
Tl (0.251, 0.251, 0.750)

Below is GdTlCdSe3 after structural relaxation, with properties calculated at the PBE-GGA level.

Results
Polymorph energy (0 for the lowest one) in eV per atom: 0.036

Cell lengths 12.296, 4.330, 12.752 Å; angles 90.00, 90.00, 90.00 degrees
Element x y z (fractional)
Gd (0.530, 0.000, 0.831)
Gd (0.970, 0.500, 0.331)
Gd (0.030, 0.000, 0.669)
Gd (0.470, 0.500, 0.169)
Cd (0.250, 0.000, 0.299)
Cd (0.750, 0.000, 0.201)
Cd (0.250, 0.500, 0.799)
Cd (0.750, 0.500, 0.701)
Se (0.466, 0.000, 0.329)
Se (0.966, 0.000, 0.171)
Se (0.910, 0.500, 0.564)
Se (0.265, 0.000, 0.674)
Se (0.235, 0.500, 0.174)
Se (0.090, 0.000, 0.436)
Se (0.765, 0.000, 0.826)
Se (0.590, 0.000, 0.064)
Se (0.735, 0.500, 0.326)
Se (0.534, 0.500, 0.671)
Se (0.410, 0.500, 0.936)
Se (0.034, 0.500, 0.829)
Tl (0.659, 0.000, 0.498)
Tl (0.841, 0.500, 0.998)
Tl (0.341, 0.500, 0.502)
Tl (0.159, 0.000, 0.002)

Below is SmGdTlCd after structural relaxation, with properties calculated at the PBE-GGA level.

Cell lengths 5.395, 5.395, 5.395 Å; angles 60.00, 60.00, 60.00 degrees
Site moments in Bohr magnetons follow the coordinates.
Element x y z (fractional)
Gd (0.750, 0.750, 0.750)  0.16
Tl (0.000, 0.000, 0.000)  -0.01
Sm (0.250, 0.250, 0.250)  0.13
Cd (0.500, 0.500, 0.500)  0.01

Below is SrGdCd after structural relaxation, with properties calculated at the PBE-GGA level.

Results
Polymorph energy (0 for the lowest one) in eV per atom: 0.000

Cell lengths 5.384, 5.384, 5.384 Å; angles 60.00, 60.00, 60.00 degrees
Element x y z (fractional)
Sr (0.750, 0.750, 0.750)
Cd (0.000, 0.000, 0.000)
Gd (0.250, 0.250, 0.250)

For the records above, the corresponding size of the total moment values read 0.0, 0.0, 0.0, 0.0, 0.0, 0.0, 0.0, 0.0, 0.0, 0.0, 0.5, 0.0 μB/cell.
For the records above, the corresponding calculated total energy values read -3.738, -3.613, -4.017, -4.491, -4.504, -4.510, -3.522, -4.140, -4.139, -4.104, -3.521, -2.317 eV per atom.